Entry 1:
PBE Ba2UCd2As4, optimized geometry; formation energy from the elements = -744 meV per atom; symmetry = No. 12
1.0
4.3555 0.0000 0.0000
0.0000 7.8569 0.2354
-2.1778 -2.8933 7.3718
Ba U As Cd
2 1 4 2
direct
0.8690 0.4271 0.7380
0.1310 0.5729 0.2620
0.0000 0.0000 0.0000
0.8003 0.7922 0.6005
0.5064 0.7547 0.0128
0.4936 0.2453 0.9872
0.1997 0.2078 0.3995
0.6742 0.9907 0.3485
0.3258 0.0093 0.6515

---

Entry 2:
PBE RhI2N, optimized geometry; excess energy over the best structure of this formula in the dataset = 0 meV/atom; ΔE_f (raw) = 1184 meV per atom; symmetry = No. 122
1.0
5.5816 0.0000 0.0000
0.0000 5.5816 0.0000
2.7908 2.7908 6.1916
I N Rh
4 2 2
direct
0.1487 0.6250 0.2500
0.8750 0.8513 0.7500
0.3750 0.3987 0.7500
0.6013 0.1250 0.2500
0.2500 0.7500 0.5000
0.5000 0.5000 0.0000
0.0000 0.0000 0.0000
0.7500 0.2500 0.5000

---

Entry 3:
PBE BaSc3Tc, optimized geometry; excess energy over the best structure of this formula in the dataset = 0 meV/atom; formation energy from the elements = 56 meV per atom; symmetry = No. 221
1.0
5.2288 0.0000 0.0000
0.0000 5.2288 0.0000
0.0000 0.0000 5.2288
Tc Sc Ba
1 3 1
direct
0.0000 0.0000 0.0000
0.0000 0.0000 0.5000
0.0000 0.5000 0.0000
0.5000 0.0000 0.0000
0.5000 0.5000 0.5000

---

Entry 4:
PBE BaLaMg2Ni, optimized geometry; excess energy over the best structure of this formula in the dataset = 0 meV/atom; formation energy from the elements = -125 meV per atom; symmetry = No. 123
1.0
-0.7935 -1.0242 5.2022
-4.3886 -2.8249 -1.2256
2.8603 -4.2683 -0.4040
La Mg Ni Ba
1 2 1 1
direct
0.0000 0.0000 0.5000
0.0000 0.5000 0.0000
0.5000 0.0000 0.0000
0.0000 0.0000 0.0000
0.5000 0.5000 0.5000